[1]
5
Lattice="-5.593 -0.609 -1.822 -1.003 -3.859 4.367 -0.907 2.457 1.962" Properties=species:S:1:pos:R:3 comment="Te2SNCl | the Alexandria database | GGA-PBE | optimized geometry" space_group=P4/mmm m_tot_mub_per_atom=0.00 e_above_lowest_polymorph_mev_per_atom=0.0 pbc="T T T"
N -0.453 1.229 0.981
S 0.000 0.000 0.000
Te -0.502 -1.929 2.184
Te -2.796 -0.304 -0.911
Cl -3.751 -1.005 2.254

***

[2]
5
Lattice="4.860 0.000 0.000 0.000 4.860 0.000 0.000 0.000 3.773" Properties=species:S:1:pos:R:3 comment="TeS2NCl | the Alexandria database | GGA-PBE | optimized geometry" space_group=P4/mmm m_tot_mub_per_atom=0.00 e_above_lowest_polymorph_mev_per_atom=550.1 pbc="T T T"
N 0.000 0.000 1.887
S 0.000 2.430 0.000
S 2.430 0.000 0.000
Te 2.430 2.430 1.887
Cl 0.000 0.000 0.000

***

[3]
28
Lattice="4.922 10.252 -0.001 -4.922 10.252 -0.001 0.000 0.925 7.664" Properties=species:S:1:pos:R:3 comment="TeS2N2Cl2 | the Alexandria database | GGA-PBE | optimized geometry" energy_ev_per_atom=-4.48 space_group=C2/c m_tot_mub_per_atom=0.00 pbc="T T T"
Te 1.601 8.872 5.356
Te 1.601 13.019 6.138
Te -1.601 8.410 1.524
Te -1.601 12.556 2.306
S 1.192 4.374 1.391
S -4.023 8.700 0.965
S 4.023 9.163 4.796
S -1.192 4.837 5.223
S -1.192 17.054 6.270
S 1.192 16.592 2.438
S -4.023 12.266 2.865
S 4.023 12.728 6.697
N -2.228 14.206 1.327
N -2.228 6.760 2.503
N 2.228 14.668 5.159
N -0.286 18.062 5.462
N 0.286 3.367 2.199
N 0.286 17.599 1.631
N -0.286 3.829 6.031
N 2.228 7.223 6.334
Cl -1.881 10.003 3.714
Cl 1.154 7.558 3.244
Cl 1.881 11.426 3.947
Cl 1.154 13.408 0.585
Cl 1.881 10.465 7.546
Cl -1.154 13.870 4.417
Cl -1.881 10.963 0.116
Cl -1.154 8.021 7.076

***

[4]
5
Lattice="3.679 0.000 0.000 0.000 3.679 0.000 0.000 0.000 7.697" Properties=species:S:1:pos:R:3 comment="TeSN2Cl | the Alexandria database | GGA-PBE | optimized geometry" space_group=P4/mmm m_tot_mub_per_atom=0.00 e_above_lowest_polymorph_mev_per_atom=84.7 pbc="T T T"
N 0.000 1.839 0.000
N 1.839 0.000 0.000
S 0.000 0.000 0.000
Te 0.000 0.000 3.849
Cl 1.839 1.839 3.849

***

[5]
5
Lattice="6.056 0.000 0.000 0.000 6.056 0.000 0.000 0.000 3.257" Properties=species:S:1:pos:R:3 comment="Te2SNCl | the Alexandria database | GGA-PBE | optimized geometry" space_group=P4/mmm m_tot_mub_per_atom=0.00 e_above_lowest_polymorph_mev_per_atom=710.3 pbc="T T T"
N 0.000 0.000 1.628
S 3.028 3.028 1.628
Te 0.000 3.028 0.000
Te 3.028 0.000 0.000
Cl 0.000 0.000 0.000

***

[6]
5
Lattice="-1.003 -0.752 -4.056 -0.341 -4.145 0.852 -4.812 0.617 1.076" Properties=species:S:1:pos:R:3 comment="TeSNCl2 | the Alexandria database | GGA-PBE | optimized geometry" space_group=P4/mmm m_tot_mub_per_atom=0.00 e_above_lowest_polymorph_mev_per_atom=53.5 pbc="T T T"
N 0.000 0.000 0.000
S -2.406 0.308 0.538
Te -3.078 -2.140 -1.064
Cl -0.170 -2.073 0.426
Cl -0.502 -0.376 -2.028

***

[7]
5
Lattice="3.763 0.000 0.000 0.000 3.763 0.000 0.000 0.000 8.156" Properties=species:S:1:pos:R:3 comment="TeSN2Cl | the Alexandria database | GGA-PBE | optimized geometry" space_group=P4/mmm m_tot_mub_per_atom=0.19 e_above_lowest_polymorph_mev_per_atom=589.9 pbc="T T T"
N 0.000 1.882 0.000
N 1.882 0.000 0.000
S 1.882 1.882 4.078
Te 0.000 0.000 4.078
Cl 0.000 0.000 0.000

***

[8]
5
Lattice="5.059 0.000 0.000 0.000 5.059 0.000 0.000 0.000 5.354" Properties=species:S:1:pos:R:3 comment="TeS2NCl | the Alexandria database | GGA-PBE | optimized geometry" space_group=P4/mmm m_tot_mub_per_atom=0.48 e_above_lowest_polymorph_mev_per_atom=305.2 pbc="T T T"
N 2.530 2.530 2.677
S 0.000 2.530 0.000
S 2.530 0.000 0.000
Te 0.000 0.000 0.000
Cl 0.000 0.000 2.677

***

[9]
5
Lattice="5.352 0.000 0.000 0.000 5.352 0.000 0.000 0.000 4.945" Properties=species:S:1:pos:R:3 comment="TeSNCl2 | the Alexandria database | GGA-PBE | optimized geometry" space_group=P4/mmm m_tot_mub_per_atom=0.60 e_above_lowest_polymorph_mev_per_atom=0.0 pbc="T T T"
N 2.676 2.676 2.473
S 0.000 0.000 2.473
Te 0.000 0.000 0.000
Cl 0.000 2.676 0.000
Cl 2.676 0.000 0.000

***

[10]
5
Lattice="4.196 0.000 0.000 0.000 4.196 0.000 0.000 0.000 4.563" Properties=species:S:1:pos:R:3 comment="TiSNCl2 | the Alexandria database | GGA-PBE | optimized geometry" space_group=P4/mmm m_tot_mub_per_atom=0.41 e_above_lowest_polymorph_mev_per_atom=599.3 pbc="T T T"
N 0.000 0.000 0.000
S 0.000 0.000 2.281
Cl 0.000 2.098 0.000
Cl 2.098 0.000 0.000
Ti 2.098 2.098 2.281

***

[11]
5
Lattice="4.266 0.000 0.000 0.000 4.266 0.000 0.000 0.000 4.056" Properties=species:S:1:pos:R:3 comment="TiS2NCl | the Alexandria database | GGA-PBE | optimized geometry" space_group=P4/mmm m_tot_mub_per_atom=0.20 e_above_lowest_polymorph_mev_per_atom=405.5 pbc="T T T"
N 0.000 0.000 0.000
S 0.000 2.133 0.000
S 2.133 0.000 0.000
Cl 0.000 0.000 2.028
Ti 2.133 2.133 2.028

***

[12]
5
Lattice="4.677 0.000 0.000 0.000 4.677 0.000 0.000 0.000 4.929" Properties=species:S:1:pos:R:3 comment="TiS2NCl | the Alexandria database | GGA-PBE | optimized geometry" space_group=P4/mmm m_tot_mub_per_atom=0.52 e_above_lowest_polymorph_mev_per_atom=182.9 pbc="T T T"
N 2.338 2.338 2.464
S 0.000 2.338 0.000
S 2.338 0.000 0.000
Cl 0.000 0.000 2.464
Ti 0.000 0.000 0.000

***

| no. | V (Å³ per cell) |
| --- | --- |
| 1 | 114.45 |
| 2 | 89.11 |
| 3 | 773.45 |
| 4 | 104.16 |
| 5 | 119.43 |
| 6 | 89.57 |
| 7 | 115.50 |
| 8 | 137.04 |
| 9 | 141.63 |
| 10 | 80.34 |
| 11 | 73.83 |
| 12 | 107.79 |